(1)
Compound: AcLaY
Source: Alexandria via LeMat-Bulk
Functional: PBE
Structure: relaxed

a b c (Å): 3.8190 3.8190 15.6503
angles (deg): 90.00 90.00 90.00
Closest atoms and distances in Å follow each position.
Space group I4mm (No. 107)
Symmetry-distinct sites (fractional):
Ac: 0.0000 0.0000 0.0000 [2 per cell]  4 Y 3.77, 4 Ac 3.82, 4 La 3.83
La: 0.0000 0.0000 0.6740 [2 per cell]  4 Y 3.66, 4 La 3.82, 4 Ac 3.83
Y: 0.0000 0.0000 0.3321 [2 per cell]  4 La 3.66, 4 Ac 3.77, 4 Y 3.82

Summary:
Energy relative to the lowest polymorph listed for this composition (eV per atom): 0.0090
Formation enthalpy at 0 K (eV/atom): 0.043
Crystal system: tetragonal

=====

(2)
Compound: NbTc3Rh
Source: Alexandria via LeMat-Bulk
Functional: PBE
Structure: relaxed

a b c (Å): 4.6022 4.6022 4.6022
angles (deg): 90.00 90.00 90.00
Closest atoms and distances in Å follow each position.
Space group Pm-3m (No. 221)
Symmetry-distinct sites (fractional):
Nb: 0.0000 0.0000 0.0000 [1 per cell]  12 Tc 3.25
Tc: 0.0000 0.5000 0.5000 [3 per cell]  2 Rh 2.30
Rh: 0.5000 0.5000 0.5000 [1 per cell]  6 Tc 2.30

Summary:
Energy relative to the lowest polymorph listed for this composition (eV per atom): 0.0000
Formation enthalpy at 0 K (eV/atom): 1.728
Crystal system: cubic

=====

(3)
Compound: Sc4TcSe
Source: Alexandria via LeMat-Bulk
Functional: PBE
Structure: relaxed

a b c (Å): 7.0991 3.9619 18.0166
angles (deg): 90.00 90.00 90.00
Closest atoms and distances in Å follow each position.
Space group Pnma (No. 62)
Symmetry-distinct sites (fractional):
Sc: 0.0068 0.2500 0.0702 [4 per cell]  3 Tc 2.69-3.00, 1 Se 2.83
Sc: 0.0831 0.2500 0.7853 [4 per cell]  4 Se 2.85-2.89, 1 Tc 2.93
Sc: 0.0879 0.2500 0.3569 [4 per cell]  2 Tc 2.68, 2 Se 2.88-2.89
Sc: 0.1496 0.2500 0.5343 [4 per cell]  3 Tc 2.78-2.90
Tc: 0.2495 0.2500 0.9339 [4 per cell]  9 Sc 2.68-3.00
Se: 0.2125 0.2500 0.2050 [4 per cell]  7 Sc 2.83-2.89

Summary:
Energy relative to the lowest polymorph listed for this composition (eV per atom): 0.0000
Crystal system: orthorhombic
Energy relative to the elements, uncorrected (eV/atom): -0.65

=====

(4)
Compound: GaCuPdAu
Source: Alexandria via LeMat-Bulk
Functional: PBE
Structure: relaxed

a b c (Å): 6.2216 6.2216 6.2216
angles (deg): 90.00 90.00 90.00
Closest atoms and distances in Å follow each position.
Space group F-43m (No. 216)
Symmetry-distinct sites (fractional):
Ga: 0.0000 0.0000 0.0000 [4 per cell]  4 Pd 2.69, 4 Au 2.69
Cu: 0.0000 0.0000 0.5000 [4 per cell]  4 Au 2.69, 4 Pd 2.69
Pd: 0.2500 0.2500 0.2500 [4 per cell]  4 Cu 2.69, 4 Ga 2.69
Au: 0.2500 0.2500 0.7500 [4 per cell]  4 Ga 2.69, 4 Cu 2.69

Summary:
Energy relative to the lowest polymorph listed for this composition (eV per atom): 0.0105
Formation enthalpy at 0 K (eV/atom): -0.272
Crystal system: cubic

=====

(5)
Compound: Pm4Pr5Ag
Source: Alexandria via LeMat-Bulk
Functional: PBE
Structure: relaxed

a b c (Å): 3.7000 3.7000 24.7221
angles (deg): 90.00 90.00 90.00
Closest atoms and distances in Å follow each position.
Space group P4/mmm (No. 123)
Symmetry-distinct sites (fractional):
Pm: 0.0000 0.0000 0.1052 [2 per cell]  8 Pr 3.69, 4 Pm 3.70
Pm: 0.0000 0.0000 0.3146 [2 per cell]  8 Pr 3.67-3.69, 4 Pm 3.70
Pr: 0.5000 0.5000 0.0000 [1 per cell]  8 Pm 3.69, 4 Pr 3.70
Pr: 0.5000 0.5000 0.2107 [2 per cell]  8 Pm 3.67-3.69, 4 Pr 3.70
Pr: 0.5000 0.5000 0.4200 [2 per cell]  4 Ag 3.28
Ag: 0.0000 0.0000 0.5000 [1 per cell]  8 Pr 3.28

Summary:
Formation enthalpy at 0 K (eV/atom): -0.033
Crystal system: tetragonal

=====

(6)
Compound: Li2PI
Source: Alexandria via LeMat-Bulk
Functional: PBE
Structure: relaxed

a b c (Å): 6.8602 6.8602 6.8602
angles (deg): 90.00 90.00 90.00
Closest atoms and distances in Å follow each position.
Space group Fm-3m (No. 225)
Symmetry-distinct sites (fractional):
Li: 0.2500 0.2500 0.2500 [8 per cell]  4 I 2.97, 4 P 2.97
P: 0.0000 0.0000 0.0000 [4 per cell]  8 Li 2.97
I: 0.0000 0.0000 0.5000 [4 per cell]  8 Li 2.97

Summary:
Energy relative to the lowest polymorph listed for this composition (eV per atom): 0.1463
Crystal system: cubic
Energy relative to the elements, uncorrected (eV/atom): -0.18

=====

(7)
Compound: KScMo2
Source: Alexandria via LeMat-Bulk
Functional: PBE
Structure: relaxed

a b c (Å): 10.1130 3.1912 7.2219
angles (deg): 90.00 93.36 90.00
Closest atoms and distances in Å follow each position.
Space group C2/m (No. 12)
Symmetry-distinct sites (fractional):
K: 0.0000 0.0000 0.0000 [2 per cell]  2 K 3.19
Sc: 0.0000 0.5000 0.5000 [2 per cell]  6 Mo 2.79-3.02
Mo: 0.2429 0.0000 0.6218 [4 per cell]  2 Mo 2.39

Summary:
Energy relative to the lowest polymorph listed for this composition (eV per atom): 0.3050
Formation enthalpy at 0 K (eV/atom): 0.786
Crystal system: monoclinic

=====

(8)
Compound: Sm3SbIr
Source: Alexandria via LeMat-Bulk
Functional: PBE
Structure: relaxed

a b c (Å): 15.2704 10.7675 7.5100
angles (deg): 90.00 101.99 90.00
Closest atoms and distances in Å follow each position.
Space group C2/c (No. 15)
Symmetry-distinct sites (fractional):
Sm: 0.0932 0.2427 0.4652 [8 per cell]  2 Ir 2.81-2.84
Sm: 0.1043 0.4324 0.8975 [8 per cell]  1 Ir 2.80, 1 Sb 3.09
Sm: 0.1272 0.0896 0.0346 [8 per cell]  3 Ir 2.81-2.98
Sb: 0.2375 0.3622 0.2518 [8 per cell]  6 Sm 3.09-3.39
Ir: 0.0000 0.0484 0.2500 [4 per cell]  6 Sm 2.81-2.97, 1 Ir 2.99
Ir: 0.0000 0.2293 0.7500 [4 per cell]  6 Sm 2.80-2.98, 1 Ir 2.99

Summary:
Crystal system: monoclinic
Energy relative to the elements, uncorrected (eV/atom): -0.66

=====

no.,ρ (g/cm³),total magnetization (μB/f.u.)
1,6.62,0.0
2,8.34,0.0
3,4.68,0.0
4,12.04,0.0
5,6.83,0.0
6,3.53,0.0
7,3.94,0.0
8,8.41,0.0